TePtBr, optimized geometry, DFT PBE-GGA; SG = No. 42; raw formation energy = -0.12 eV per atom; density = 6.760 Mg/m³
1.0
-7.396 -3.469 0.630
-6.140 -3.072 -3.219
0.031 -3.449 2.158
Te Br Pt
1 1 1
Direct
0.716 0.716 0.284 Te
0.952 0.952 0.048 Br
0.333 0.333 0.667 Pt